A:
{"formula": "Cr3NiB", "functional": "PBE-GGA", "state": "optimized geometry", "dos_at_fermi_per_ev_cell": 4.88, "lattice": [[3.843, 0.000, 0.000], [0.000, 3.843, 0.000], [0.000, 0.000, 3.843]], "species": ["Ni", "B", "Cr", "Cr", "Cr"], "frac_coords": [[0.500, 0.500, 0.500], [0.000, 0.000, 0.000], [0.000, 0.500, 0.000], [0.000, 0.000, 0.500], [0.500, 0.000, 0.000]]}

***

B:
{"formula": "Cr3NiB", "functional": "PBE-GGA", "state": "optimized geometry", "dos_at_fermi_per_ev_cell": 8.84, "lattice": [[-1.643, -3.295, 2.394], [3.647, -0.040, 2.447], [-1.814, 2.903, 2.751]], "species": ["Ni", "B", "Cr", "Cr", "Cr"], "frac_coords": [[0.000, 0.000, 0.000], [0.500, 0.500, 0.500], [0.000, 0.500, 0.000], [0.000, 0.000, 0.500], [0.500, 0.000, 0.000]]}

***

Which structure is the least stable? The one labeled B.

***

A:
{"formula": "CrNi3B", "functional": "PBE-GGA", "state": "optimized geometry", "dos_at_fermi_per_ev_cell": 5.31, "lattice": [[4.202, 0.000, 0.000], [0.000, 4.202, 0.000], [0.000, 0.000, 4.202]], "species": ["Ni", "Ni", "Ni", "B", "Cr"], "frac_coords": [[0.000, 0.500, 0.000], [0.000, 0.000, 0.500], [0.500, 0.000, 0.000], [0.500, 0.500, 0.500], [0.000, 0.000, 0.000]]}

***

B:
{"formula": "CrNi3B", "functional": "PBE-GGA", "state": "optimized geometry", "dos_at_fermi_per_ev_cell": 11.61, "lattice": [[3.792, 0.000, 0.000], [0.000, 3.792, 0.000], [0.000, 0.000, 3.792]], "species": ["Ni", "Ni", "Ni", "B", "Cr"], "frac_coords": [[0.000, 0.500, 0.000], [0.000, 0.000, 0.500], [0.500, 0.000, 0.000], [0.000, 0.000, 0.000], [0.500, 0.500, 0.500]]}

***

Which structure is the least stable? The one labeled A.